Density functional theory data (SCAN) for a crystal of SrMgZn2 relaxed with PBEsol.

The structure in extended XYZ format:
```
8
Lattice="4.274 0.000 0.000 0.000 3.941 0.000 0.000 0.000 11.497" Properties=species:S:1:pos:R:3 pbc="T T T"
Sr 0.000 0.000 0.000
Sr 0.000 1.970 5.748
Mg 2.137 0.000 8.136
Mg 2.137 1.970 2.388
Zn 0.000 0.000 3.154
Zn 0.000 1.970 8.902
Zn 2.137 0.000 4.459
Zn 2.137 1.970 10.207
```

Properties
As for the energy: -0.5050 hartree per atom. For the density of states at the Fermi level, the calculation gives 4.40 states/eV/cell. The space group is Amm2, No. 38.

Density functional theory data (SCAN) for a crystal of SrMgZn2 relaxed with PBEsol.

The structure in extended XYZ format:
```
4
Lattice="3.514 0.000 0.000 0.000 3.514 0.000 0.000 0.000 7.248" Properties=species:S:1:pos:R:3 pbc="T T T"
Sr 0.000 0.000 0.000
Mg 0.000 0.000 3.624
Zn 1.757 1.757 2.184
Zn 1.757 1.757 5.063
```

Properties
As for the energy: -0.5038 hartree per atom. For the density of states at the Fermi level, the calculation gives 3.10 states/eV/cell. The space group is P4/mmm, No. 123.

Density functional theory data (SCAN) for a crystal of Sr2MgZr relaxed with PBEsol.

The structure in extended XYZ format:
```
8
Lattice="5.056 0.000 0.000 0.000 5.056 0.000 0.000 0.000 10.307" Properties=species:S:1:pos:R:3 pbc="T T T"
Sr 0.000 2.528 2.577
Sr 0.000 2.528 7.730
Sr 2.528 0.000 2.577
Sr 2.528 0.000 7.730
Mg 0.000 0.000 0.000
Mg 2.528 2.528 5.153
Zr 0.000 0.000 5.153
Zr 2.528 2.528 0.000
```

Properties
As for the energy: -0.7211 hartree per atom. For the density of states at the Fermi level, the calculation gives 5.42 states/eV/cell. The space group is I4/mmm, No. 139.

Density functional theory data (SCAN) for a crystal of SrMg2Zr relaxed with PBEsol.

The structure in extended XYZ format:
```
12
Lattice="3.338 0.000 0.000 -1.669 2.890 0.000 0.000 0.000 33.363" Properties=species:S:1:pos:R:3 pbc="T T T"
Sr 0.000 0.000 0.000
Sr 0.000 1.927 22.242
Sr 1.669 0.963 11.121
Mg 0.000 0.000 8.103
Mg 0.000 0.000 25.259
Mg 0.000 1.927 14.139
Mg 0.000 1.927 30.345
Mg 1.669 0.963 3.018
Mg 1.669 0.963 19.224
Zr 0.000 0.000 16.681
Zr 0.000 1.927 5.560
Zr 1.669 0.963 27.802
```

Properties
The energy above the most stable polymorph in this dataset comes out at 0.0 meV/atom. As for the energy: -0.5676 hartree per atom. For the density of states at the Fermi level, the calculation gives 12.26 states/eV/cell. The space group is R-3m, No. 166.

Density functional theory data (SCAN) for a crystal of SrMg4Zr relaxed with PBEsol.

The structure in extended XYZ format:
```
6
Lattice="0.000 4.232 4.232 4.232 0.000 4.232 4.232 4.232 0.000" Properties=species:S:1:pos:R:3 pbc="T T T"
Sr 0.000 0.000 0.000
Mg 3.190 3.190 3.190
Mg 5.273 5.273 3.190
Mg 5.273 3.190 5.273
Mg 3.190 5.273 5.273
Zr 6.347 6.347 6.347
```

Properties
As for the energy: -0.4412 hartree per atom. For the density of states at the Fermi level, the calculation gives 5.05 states/eV/cell. The space group is F-43m, No. 216.

Density functional theory data (SCAN) for a crystal of SrMg2Zr relaxed with PBEsol.

The structure in extended XYZ format:
```
8
Lattice="3.506 0.000 0.000 0.000 5.448 0.000 0.000 0.000 11.285" Properties=species:S:1:pos:R:3 pbc="T T T"
Sr 0.000 0.000 0.000
Sr 1.753 2.724 5.642
Mg 0.000 2.724 2.597
Mg 0.000 2.724 8.687
Mg 1.753 0.000 3.045
Mg 1.753 0.000 8.240
Zr 0.000 0.000 5.642
Zr 1.753 2.724 0.000
```

Properties
The energy above the most stable polymorph in this dataset comes out at 117.0 meV/atom. As for the energy: -0.5633 hartree per atom. For the density of states at the Fermi level, the calculation gives 7.42 states/eV/cell. The space group is Immm, No. 71.

Calculated density, 4.163; 4.503; 3.665; 3.521; 3.025; 3.504 g/cm3 (same order as the records).
Calculated DFT formation energy, -0.17; -0.14; 0.43; 0.29; 0.14; 0.40 eV/atom (same order as the records).
Calculated total moment, 0.00; 0.00; 3.33; 0.06; 0.60; 1.68 μB per formula unit (same order as the records).